[1]
LaCu2AsH2 | Alexandria via LeMat-Bulk | PBE | relaxed; uncorrected energy = -4.531 eV per atom; calculated density = 6.3 g/cm³; total magnetic moment = 0.0 μB per formula unit; calculated volume = 15.14 A^3/atom; symmetry = P2_1/m
1.0
-4.264 -2.412 -0.341
1.558 -1.960 -5.616
1.898 -4.038 4.822
La Cu As H
2 4 2 4
Cartesian
-1.401 -5.206 1.306
0.594 -3.204 -2.441
-1.486 -2.352 -0.079
0.638 -1.150 0.091
-1.446 -7.260 -1.226
0.678 -6.058 -1.056
0.978 -4.653 2.993
-1.786 -3.758 -4.128
-0.048 -2.530 0.814
1.204 -4.575 -0.380
-0.759 -5.881 -1.950
-2.012 -3.835 -0.755


[2]
MnCu2AsH | Alexandria via LeMat-Bulk | PBE | relaxed; uncorrected energy = -4.989 eV per atom; calculated density = 7.5 g/cm³; total magnetic moment = 3.6 μB per formula unit; calculated volume = 11.44 A^3/atom; symmetry = P4/mmm
1.0
3.803 0.000 0.000
0.000 3.803 0.000
0.000 0.000 3.956
H As Mn Cu
1 1 1 2
Cartesian
0.000 0.000 0.000
1.902 1.902 1.978
0.000 0.000 1.978
0.000 1.902 0.000
1.902 0.000 0.000


[3]
NaCu5Sb2As6H18O34 | Alexandria via LeMat-Bulk | PBE | relaxed; uncorrected energy = -5.408 eV per atom; calculated density = 3.7 g/cm³; total magnetic moment = 4.0 μB per formula unit; calculated volume = 10.95 A^3/atom; symmetry = P-1
1.0
7.204 -0.003 0.017
-0.691 10.025 0.013
-2.701 -3.527 9.995
Na Cu Sb As H O
1 5 2 6 18 34
Cartesian
0.000 0.000 0.000
1.906 3.247 5.012
-0.218 3.244 1.792
4.031 3.250 8.232
-1.696 3.249 5.004
3.257 5.011 0.015
-1.350 -1.764 4.997
2.252 -1.765 5.006
0.428 0.744 3.526
3.385 5.751 6.498
3.800 2.736 2.279
0.012 3.758 7.745
-0.279 5.827 3.509
4.092 0.667 6.515
-0.161 -2.819 9.283
3.974 9.313 0.742
-1.053 -2.603 8.025
4.865 9.097 1.999
-1.499 -0.887 9.674
5.312 7.381 0.350
1.216 8.520 1.733
2.596 -2.026 8.292
1.610 7.864 0.358
2.202 -1.370 9.667
3.204 0.545 2.671
0.609 5.950 7.354
-2.391 0.405 9.347
6.203 6.089 0.678
-0.240 0.179 7.747
4.052 6.315 2.278
2.512 6.065 2.439
1.301 0.429 7.586
0.467 1.845 4.818
3.345 4.649 5.207
2.647 -0.348 6.420
1.166 6.842 3.605
-1.731 -0.414 6.469
5.543 6.909 3.556
-0.246 5.211 1.920
4.058 1.283 8.105
1.043 8.561 0.775
2.770 -2.066 9.250
2.363 3.145 3.107
1.450 3.350 6.917
-0.966 -0.324 3.653
4.778 6.818 6.372
-0.269 4.692 4.767
4.081 1.802 5.258
-1.515 3.392 6.965
5.328 3.102 3.060
0.458 -1.794 5.765
3.354 8.288 4.260
3.771 0.986 1.987
0.041 5.508 8.037
0.286 1.347 1.944
3.526 5.147 8.080
0.846 3.489 0.072
2.967 3.005 9.953
1.835 -0.344 3.571
1.978 6.838 6.454
3.309 5.770 1.942
0.504 0.724 8.083
3.956 3.321 0.674
-0.144 3.173 9.351
-0.930 -2.312 8.958
4.742 8.806 1.067


[4]
Cu2NiAsH | Alexandria via LeMat-Bulk | PBE | relaxed; uncorrected energy = -4.328 eV per atom; calculated density = 8.1 g/cm³; offset from the most stable computed form = 0 meV per atom; total magnetic moment = 0.0 μB per formula unit; calculated volume = 10.73 A^3/atom; symmetry = P4/mmm
1.0
-2.174 0.812 2.972
2.131 -2.231 2.168
2.227 2.932 0.828
Ni As Cu H
1 1 2 1
Cartesian
1.114 1.466 0.414
1.092 0.757 2.984
1.065 -1.115 1.084
-1.087 0.406 1.486
0.000 0.000 0.000


[5]
CuNi2AsH | Alexandria via LeMat-Bulk | PBE | relaxed; uncorrected energy = -4.746 eV per atom; calculated density = 8.3 g/cm³; total magnetic moment = 0.0 μB per formula unit; calculated volume = 10.25 A^3/atom; symmetry = P4/mmm
1.0
3.735 0.000 0.000
0.000 3.735 0.000
0.000 0.000 3.675
Ni As Cu H
2 1 1 1
Cartesian
0.000 1.868 0.000
1.868 0.000 0.000
1.868 1.868 1.838
0.000 0.000 1.838
0.000 0.000 0.000


[6]
Cu2NiAsH | Alexandria via LeMat-Bulk | PBE | relaxed; uncorrected energy = -4.204 eV per atom; calculated density = 7.9 g/cm³; offset from the most stable computed form = 124 meV per atom; total magnetic moment = 0.0 μB per formula unit; calculated volume = 11.06 A^3/atom; symmetry = P4/mmm
1.0
3.566 0.000 0.000
0.000 4.348 0.000
0.000 0.000 3.566
Ni As Cu H
1 1 2 1
Cartesian
1.783 2.174 1.783
0.000 2.174 0.000
0.000 0.000 1.783
1.783 0.000 0.000
0.000 0.000 0.000


[7]
NpCuAsH | Alexandria via LeMat-Bulk | PBE | relaxed; uncorrected energy = -6.663 eV per atom; calculated density = 10.8 g/cm³; total magnetic moment = 4.0 μB per formula unit; calculated volume = 14.51 A^3/atom; symmetry = P4/nmm
1.0
3.994 0.000 0.000
0.000 3.994 0.000
0.000 0.000 7.276
Np Cu As H
2 2 2 2
Cartesian
0.000 1.997 6.225
1.997 0.000 1.051
0.000 0.000 3.638
1.997 1.997 3.638
1.997 0.000 5.162
0.000 1.997 2.114
1.997 1.997 0.000
0.000 0.000 0.000


[8]
Cu2AsHO6 | Alexandria via LeMat-Bulk | PBE | relaxed; uncorrected energy = -5.219 eV per atom; calculated density = 4.2 g/cm³; total magnetic moment = 0.0 μB per formula unit; calculated volume = 11.86 A^3/atom; symmetry = C2/c
1.0
4.595 0.712 0.738
2.530 7.798 -1.121
2.530 -1.410 7.751
Cu As H O
4 2 2 12
Cartesian
5.392 5.456 3.761
1.965 3.188 1.407
4.262 1.644 3.607
7.690 3.912 5.961
3.679 0.425 6.339
5.976 6.674 1.029
3.679 7.019 -0.015
5.976 0.081 7.383
2.559 -0.931 6.408
4.798 0.306 7.692
7.096 8.031 0.960
4.856 6.794 -0.323
5.022 6.740 2.441
2.335 4.554 0.173
4.632 0.360 4.927
7.320 2.546 7.195
3.564 4.205 3.654
3.793 3.248 2.661
6.091 2.895 3.714
5.861 3.851 4.707


[9]
Cu3As2H2PbO10 | Alexandria via LeMat-Bulk | PBE | relaxed; uncorrected energy = -5.500 eV per atom; calculated density = 5.6 g/cm³; total magnetic moment = 3.0 μB per formula unit; calculated volume = 11.70 A^3/atom; symmetry = C2/c
1.0
-0.304 3.908 4.483
-4.726 3.602 0.399
-8.300 -6.442 9.470
Cu As H Pb O
6 4 4 2 20
Cartesian
-2.363 1.801 0.200
-6.665 0.534 7.176
0.000 0.000 0.000
-2.515 3.755 2.441
-4.302 -1.267 6.977
-4.150 -3.221 4.735
-5.636 4.277 3.931
-7.946 1.184 10.365
-5.384 -0.115 3.987
-7.694 -3.209 10.422
-7.155 2.328 5.582
-9.326 -0.756 12.144
-4.004 1.824 2.208
-6.175 -1.260 8.771
-3.522 2.219 5.795
-9.808 -1.150 8.557
-7.769 1.651 6.075
-5.971 3.196 5.214
-11.854 0.852 12.364
-3.846 4.249 3.954
-8.165 -1.120 6.340
-5.225 0.048 5.763
-7.300 4.101 8.002
-11.885 -1.211 10.375
-9.719 -1.418 12.842
-9.115 0.045 10.878
-4.215 1.024 3.475
-3.611 2.486 1.510
-1.445 2.279 3.978
-6.030 -3.033 6.350
-8.105 1.021 8.589
-5.166 2.188 8.012
-9.484 -3.181 10.398
-1.476 0.216 1.988
-7.359 -2.128 9.139
-5.561 -0.582 8.277